Computed, not measured: MgCrBiF6 after structural relaxation at the PBE+U level of DFT.

Results
Symmetry: P-31c (163)
Spin magnetization: 0.556 μB per atom
DFT total energy: -5.2147 eV/atom

Lattice parameters (Å, degrees): 5.5950 5.5950 9.9638 90.00 90.00 120.00
With the nearest neighbours (Å) after each atom.
Element x y z (fractional)
Mg 0.3333 0.6667 0.2500  6 F 2.03
Mg 0.6667 0.3333 0.7500  6 F 2.03
Cr 0.3333 0.6667 0.7500  6 F 2.33
Cr 0.6667 0.3333 0.2500  6 F 2.33
Bi 0.0000 0.0000 0.0000  6 F 2.33
Bi 0.0000 0.0000 0.5000  6 F 2.33
F 0.0423 0.3580 0.1355  1 Mg 2.03
F 0.0423 0.6843 0.3645  1 Mg 2.03
F 0.3157 0.3580 0.3645  1 Mg 2.03
F 0.3157 0.9577 0.1355  1 Mg 2.03
F 0.3580 0.0423 0.6355  1 Mg 2.03
F 0.3580 0.3157 0.8645  1 Mg 2.03
F 0.6420 0.6843 0.1355  1 Mg 2.03
F 0.6420 0.9577 0.3645  1 Mg 2.03
F 0.6843 0.0423 0.8645  1 Mg 2.03
F 0.6843 0.6420 0.6355  1 Mg 2.03
F 0.9577 0.3157 0.6355  1 Mg 2.03
F 0.9577 0.6420 0.8645  1 Mg 2.03